Record 1
This record from Alexandria via LeMat-Bulk describes a relaxed structure of Zr2MnRe. The functional is GGA-PBE.

Cell and atoms, written as POSCAR:
```
Zr2MnRe
1.0
-1.998 -5.094 -0.470
1.656 -3.847 3.553
-2.423 4.890 -0.612
Zr Mn Re
2 1 1
Direct
0.992 0.992 0.000 Zr
0.261 0.761 0.500 Zr
0.515 0.515 0.000 Mn
0.733 0.233 0.500 Re
```

Calculated values
- Symmetry: Imm2 (44)
- Calculated density: 10.15 Mg/m³
- DOS at the Fermi energy: 2.68 states/eV per cell
- Uncorrected energy: -9.73 eV per atom
- ΔE_f: -53.1 meV per atom



Record 2
This record from Alexandria via LeMat-Bulk describes a relaxed structure of AcTmSi2Ni2. The functional is GGA-PBE.

Cell and atoms, written as POSCAR:
```
AcTmSi2Ni2
1.0
4.061 0.000 0.000
-2.030 3.517 0.000
0.000 0.000 8.275
Ni Ac Tm Si
2 1 1 2
Direct
0.333 0.667 0.717 Ni
0.667 0.333 0.283 Ni
0.000 0.000 0.000 Ac
0.000 0.000 0.500 Tm
0.333 0.667 0.276 Si
0.667 0.333 0.724 Si
```

Calculated values
- Symmetry: P-3m1 (164)
- Formation energy from raw total energies: -69 kJ/mol of atoms
- Calculated density: 8.00 Mg/m³
- DOS at the Fermi energy: 4.87 states/eV per cell
- Uncorrected energy: -5.88 eV per atom



Record 3
This record from Alexandria via LeMat-Bulk describes a relaxed structure of Yb4Pt. The functional is GGA-PBE.

Cell and atoms, written as POSCAR:
```
Yb4Pt
1.0
0.000 5.663 5.663
5.663 0.000 5.663
5.663 5.663 0.000
Yb Pt
8 2
Direct
0.411 0.863 0.863 Yb
0.387 0.387 0.839 Yb
0.863 0.411 0.863 Yb
0.839 0.387 0.387 Yb
0.863 0.863 0.411 Yb
0.387 0.839 0.387 Yb
0.863 0.863 0.863 Yb
0.387 0.387 0.387 Yb
0.000 0.000 0.000 Pt
0.250 0.250 0.250 Pt
```

Calculated values
- Symmetry: Fd-3m (227)
- Calculated density: 8.11 Mg/m³
- DOS at the Fermi energy: 121.05 states/eV per cell
- Uncorrected energy: -2.65 eV per atom
- ΔE_f: -222.7 meV per atom



Record 4
This record from Alexandria via LeMat-Bulk describes a relaxed structure of Ca3ZnAg2. The functional is GGA-PBE.

Cell and atoms, written as POSCAR:
```
Ca3ZnAg2
1.0
3.670 0.000 0.000
0.000 3.670 0.000
0.000 0.000 11.302
Ag Ca Zn
2 3 1
Direct
0.500 0.500 0.168 Ag
0.500 0.500 0.832 Ag
0.000 0.000 0.336 Ca
0.000 0.000 0.000 Ca
0.000 0.000 0.664 Ca
0.500 0.500 0.500 Zn
```

Calculated values
- Symmetry: P4/mmm (123)
- Excess energy over the best structure of this formula in the dataset: 0 meV/atom
- Calculated density: 4.38 Mg/m³
- DOS at the Fermi energy: 4.79 states/eV per cell
- Uncorrected energy: -2.45 eV per atom
- ΔE_f: -284.1 meV per atom